An optimized crystal structure of BeSb4Ir. Source: Alexandria via LeMat-Bulk, functional PBE.

Calculated values
The value obtained for the formation energy without anion corrections is 7.58 eV per formula unit. The value obtained for the density of states at the Fermi level is 1.12 states/eV per atom. For the mass density, the calculation gives 7.55 Mg/m³. Its space-group type is F-43m. The electronic total energy comes out at -3.5834 eV/atom.

abc: 5.983 5.983 5.983
angles: 60.00 60.00 60.00
Fractional positions:
Sb  0.375  0.375  0.375
Sb  0.874  0.375  0.375
Sb  0.375  0.375  0.874
Sb  0.375  0.874  0.375
Be  0.750  0.750  0.750
Ir  0.000  0.000  0.000

---

An optimized crystal structure of Dy3ThHg4. Source: Alexandria via LeMat-Bulk, functional PBE.

Calculated values
The value obtained for the density of states at the Fermi level is 1.06 states/eV per atom. For the mass density, the calculation gives 11.97 Mg/m³. Its space-group type is P4/mmm. The value obtained for the energy of formation is -0.393 eV per atom. The electronic total energy comes out at -3.1973 eV/atom.

abc: 5.275 7.589 10.550
angles: 90.00 90.00 90.00
Each line ends with the local moment (μB).
Fractional positions:
Hg  0.999  0.239  0.250  0.02
Hg  0.500  0.239  0.500  0.02
Dy  0.499  0.000  0.250  0.12
Dy  0.501  0.500  0.750  0.29
Hg  0.500  0.761  0.500  0.02
Hg  0.999  0.761  0.250  0.02
Th  0.000  0.500  0.000  0.29
Hg  0.001  0.239  0.750  0.02
Hg  0.500  0.761  0.000  0.02
Dy  0.501  0.000  0.750  0.12
Dy  0.000  0.000  0.500  0.20
Hg  0.001  0.761  0.750  0.02
Dy  0.499  0.500  0.250  0.29
Th  0.000  0.500  0.500  0.29
Dy  0.000  0.000  0.000  0.20
Hg  0.500  0.239  0.000  0.02

---

An optimized crystal structure of Pr2YPt3. Source: Alexandria via LeMat-Bulk, functional PBE.

Calculated values
The value obtained for the density of states at the Fermi level is 0.63 states/eV per atom. For the mass density, the calculation gives 10.24 Mg/m³. Its space-group type is Immm. The value obtained for the energy of formation is -1.044 eV per atom. The electronic total energy comes out at -6.7352 eV/atom.

abc: 4.197 5.909 7.226
angles: 114.13 106.88 90.00
Fractional positions:
Pt  0.660  0.660  0.320
Pt  0.340  0.340  0.680
Pr  0.332  0.832  0.664
Pt  0.000  0.000  0.000
Pr  0.668  0.168  0.336
Y  0.000  0.500  0.000

---

> What is the electronic total energy in the second record?

-3.1973 eV/atom